Entry 1:
# Ba3CuGe

A geometry-optimized Ba3CuGe structure (GGA-PBE, the Alexandria database).

a b c (Å): 5.9765 5.9765 5.9765
angles (deg): 90.00 90.00 90.00
Last column: nearest neighbours and their distance in Å.
Space group Pm-3m (No. 221)
Inequivalent atoms, fractional coordinates:
Ba1 0.0000 0.0000 0.5000 (multiplicity 3)  2 Cu 2.99
Cu1 0.0000 0.0000 0.0000 (multiplicity 1)  6 Ba 2.99
Ge1 0.5000 0.5000 0.5000 (multiplicity 1)  12 Ba 4.23

Relative energy among the computed polymorphs: 0.000 eV per atom

Entry 2:
# BaCu2Ge

A geometry-optimized BaCu2Ge structure (GGA-PBE, the Alexandria database).

a b c (Å): 7.0215 4.2016 12.2142
angles (deg): 90.00 90.00 90.00
Last column: nearest neighbours and their distance in Å.
Space group Pnma (No. 62)
Inequivalent atoms, fractional coordinates:
Ba1 0.2429 0.2500 0.1925 (multiplicity 4)  4 Cu 3.13-3.42, 2 Ge 3.39
Cu1 0.0714 0.2500 0.9559 (multiplicity 4)  5 Cu 2.52-2.57, 1 Ge 2.54
Cu2 0.2320 0.2500 0.4726 (multiplicity 4)  3 Ge 2.48-2.56, 3 Cu 2.52-2.54
Ge1 0.0738 0.7500 0.4137 (multiplicity 4)  4 Cu 2.48-2.56

Entry 3:
# BaCu4Ge4

A geometry-optimized BaCu4Ge4 structure (GGA-PBE, the Alexandria database).

a b c (Å): 6.2666 6.2666 8.4227
angles (deg): 90.00 90.00 90.00
Last column: nearest neighbours and their distance in Å.
Space group P4_2/nmc (No. 137, origin choice 2)
Inequivalent atoms, fractional coordinates:
Ba1 0.2500 0.7500 0.2500 (multiplicity 2)  12 Cu 3.41-3.64, 12 Ge 3.51-3.64
Cu1 0.0516 0.2500 0.0875 (multiplicity 8)  5 Ge 2.49-2.60, 1 Cu 2.49
Ge1 0.0123 0.2500 0.3813 (multiplicity 8)  5 Cu 2.49-2.60

no.,electronic total energy (eV/f.u.),formation energy (meV per atom)
1,-13.92,112
2,-15.50,-193
3,-37.91,-126